Computed, not measured: a relaxed Ti2NbTc4 crystal at the PBE level of DFT.

abc: 5.325 5.325 5.325
angles: 109.16 109.16 110.10
Positions (direct):
Ti  0.000  0.500  0.500
Ti  0.500  0.000  0.500
Nb  0.000  0.000  0.000
Tc  0.000  0.000  0.500
Tc  0.000  0.500  0.000
Tc  0.500  0.000  0.000
Tc  0.500  0.500  0.500

Output
As for the symmetry: I4/mmm (139). As for the formation energy: 0.14 eV per atom.